Record 1
Tm3Ga7Ni2 after structural relaxation. Source: the Alexandria database, functional PBE.

Calculated values
The value obtained for the density is 8.5 g/cm3. Its space group is No. 10. The calculation puts the total energy at -4.438 eV per atom. As for the density of states at the Fermi level: 6.30 states/eV/f.u.

Cell: 4.0935 4.1392 13.0109 Å, 99.01 90.00 90.00°
Fractional coordinates of all 12 atoms:
Ga1 0.0000 0.4145 0.8310
Ga2 0.5000 0.2773 0.5553
Ga3 0.5000 0.9164 0.8298
Ga4 0.0000 0.5855 0.1690
Ga5 0.5000 0.7227 0.4447
Ga6 0.0000 0.0000 0.0000
Ga7 0.5000 0.0836 0.1702
Ni1 0.5000 0.6288 0.2627
Ni2 0.5000 0.3712 0.7373
Tm1 0.5000 0.5000 0.0000
Tm2 0.0000 0.1824 0.3609
Tm3 0.0000 0.8176 0.6391

Record 2
Tm3Ga2Ni9 after structural relaxation. Source: the Alexandria database, functional PBE.

Calculated values
The value obtained for the density is 9.5 g/cm3. Its space group is No. 71. The calculation puts the total energy at -5.513 eV per atom. As for the density of states at the Fermi level: 12.25 states/eV/f.u.

Cell: 3.9745 7.6761 7.6761 Å, 67.97 75.00 75.00°
Fractional coordinates of all 14 atoms:
Ni1 0.6792 0.9667 0.6749
Ni2 0.8800 0.8437 0.3964
Ni3 0.3208 0.3251 0.0333
Ni4 0.1200 0.1563 0.6036
Ni5 0.6792 0.6749 0.9667
Ni6 0.0000 0.5000 0.5000
Ni7 0.3208 0.0333 0.3251
Ni8 0.1200 0.6036 0.1563
Ni9 0.8800 0.3964 0.8437
Tm1 0.0000 0.0000 0.0000
Tm2 0.3019 0.6981 0.6981
Tm3 0.6981 0.3019 0.3019
Ga1 0.5000 0.7121 0.2879
Ga2 0.5000 0.2879 0.7121

Record 3
TmGa7Ni5 after structural relaxation. Source: the Alexandria database, functional PBE.

Calculated values
The value obtained for the density is 8.5 g/cm3. Its space group is No. 44. The calculation puts the total energy at -4.653 eV per atom. As for the density of states at the Fermi level: 6.68 states/eV/f.u.

Cell: 5.0869 6.5421 6.5422 Å, 82.68 67.12 67.12°
Fractional coordinates of all 13 atoms:
Ni1 0.7324 0.7677 0.7676
Ni2 0.0052 0.0078 0.4875
Ni3 0.4995 0.0078 0.4875
Ni4 0.4995 0.4875 0.0078
Ni5 0.0052 0.4875 0.0078
Ga1 0.9849 0.6730 0.3571
Ga2 0.5132 0.1853 0.7882
Ga3 0.3415 0.6585 0.6585
Ga4 0.9850 0.3571 0.6730
Ga5 0.6488 0.3512 0.3512
Ga6 0.5132 0.7883 0.1853
Ga7 0.2678 0.2321 0.2322
Tm1 0.0038 0.9962 0.9962

Record 4
Tm2GaNi9 after structural relaxation. Source: the Alexandria database, functional PBE.

Calculated values
The value obtained for the density is 9.5 g/cm3. Its space group is No. 166. The calculation puts the total energy at -5.591 eV per atom. As for the density of states at the Fermi level: 13.30 states/eV/f.u.

Cell: 4.8641 4.8641 8.4908 Å, 73.36 73.36 60.00°
Site moments in Bohr magnetons follow the coordinates.
Fractional coordinates of all 12 atoms:
Tm1 0.8643 0.8643 0.4070  -0.05
Tm2 0.1357 0.1357 0.5930  -0.05
Ga1 0.0000 0.0000 0.0000  -0.01
Ni1 0.5837 0.5837 0.7521  0.15
Ni2 0.3333 0.3333 0.0002  0.25
Ni3 0.5837 0.0806 0.7521  0.15
Ni4 0.0806 0.5837 0.7521  0.15
Ni5 0.5000 0.5000 0.5000  0.10
Ni6 0.9194 0.4163 0.2479  0.15
Ni7 0.4163 0.4163 0.2479  0.15
Ni8 0.4163 0.9194 0.2479  0.15
Ni9 0.6667 0.6667 0.9998  0.25

Record 5
Tm3Ga6Ni5 after structural relaxation. Source: the Alexandria database, functional PBE.

Calculated values
The value obtained for the density is 9.1 g/cm3. Its space group is No. 59. The calculation puts the total energy at -4.928 eV per atom. As for the density of states at the Fermi level: 7.36 states/eV/f.u.

Cell: 4.0824 8.8882 12.2882 Å, 90.00 90.00 90.00°
Fractional coordinates of all 28 atoms:
Ga1 0.0000 0.9819 0.1511
Ga2 0.5000 0.4115 0.8216
Ga3 0.5000 0.9633 0.0000
Ga4 0.0000 0.4138 0.5000
Ga5 0.5000 0.0181 0.3489
Ga6 0.0000 0.5885 0.3216
Ga7 0.5000 0.0181 0.6511
Ga8 0.5000 0.5862 0.0000
Ga9 0.0000 0.9819 0.8489
Ga10 0.5000 0.4115 0.1784
Ga11 0.0000 0.5885 0.6784
Ga12 0.0000 0.0367 0.5000
Ni1 0.0000 0.7832 0.0000
Ni2 0.5000 0.4570 0.6124
Ni3 0.5000 0.2168 0.5000
Ni4 0.0000 0.5430 0.1124
Ni5 0.0000 0.8647 0.6573
Ni6 0.0000 0.5430 0.8876
Ni7 0.5000 0.1353 0.1573
Ni8 0.5000 0.4570 0.3876
Ni9 0.0000 0.8647 0.3427
Ni10 0.5000 0.1353 0.8427
Tm1 0.0000 0.2647 0.0000
Tm2 0.5000 0.7533 0.7998
Tm3 0.5000 0.7533 0.2002
Tm4 0.0000 0.2467 0.7002
Tm5 0.0000 0.2467 0.2998
Tm6 0.5000 0.7353 0.5000

Record 6
Tm3Ga2Ni7 after structural relaxation. Source: the Alexandria database, functional PBE.

Calculated values
The value obtained for the density is 9.8 g/cm3. Its space group is No. 166. The calculation puts the total energy at -5.535 eV per atom. As for the density of states at the Fermi level: 8.27 states/eV/f.u.

Cell: 5.1133 5.1133 8.4120 Å, 72.31 72.31 60.00°
Fractional coordinates of all 12 atoms:
Ni1 0.0836 0.5826 0.7512
Ni2 0.9164 0.4174 0.2488
Ni3 0.4174 0.9164 0.2488
Ni4 0.5826 0.0836 0.7512
Ni5 0.4174 0.4174 0.2488
Ni6 0.5000 0.5000 0.5000
Ni7 0.5826 0.5826 0.7512
Tm1 0.1405 0.1405 0.5786
Tm2 0.8595 0.8595 0.4214
Tm3 0.0000 0.0000 0.0000
Ga1 0.3328 0.3328 0.0015
Ga2 0.6672 0.6672 0.9985

Record 7
Tm2Ga9Ni3 after structural relaxation. Source: the Alexandria database, functional PBE.

Calculated values
The value obtained for the density is 8.5 g/cm3. Its space group is No. 15. The calculation puts the total energy at -4.306 eV per atom. As for the density of states at the Fermi level: 5.03 states/eV/f.u.

Cell: 7.4203 7.4203 10.3266 Å, 90.06 110.95 120.06°
Fractional coordinates of all 28 atoms:
Ga1 0.8832 0.8570 0.5719
Ga2 0.2150 0.6887 0.0719
Ga3 0.3320 0.2961 0.2492
Ga4 0.1191 0.8691 0.2500
Ga5 0.8809 0.1309 0.7500
Ga6 0.6680 0.7039 0.7508
Ga7 0.7888 0.4792 0.4294
Ga8 0.1168 0.1431 0.4281
Ga9 0.8712 0.0196 0.0613
Ga10 0.5416 0.1901 0.5613
Ga11 0.2112 0.5208 0.5706
Ga12 0.5470 0.0828 0.2508
Ga13 0.4502 0.6406 0.9294
Ga14 0.1288 0.9804 0.9387
Ga15 0.4584 0.8099 0.4387
Ga16 0.5498 0.3594 0.0706
Ga17 0.4530 0.9172 0.7492
Ga18 0.7850 0.3113 0.9281
Ni1 0.1691 0.3380 0.0005
Ni2 0.8375 0.1686 0.4995
Ni3 0.1625 0.8314 0.5005
Ni4 0.8309 0.6620 0.9995
Ni5 0.5000 0.5000 0.5000
Ni6 0.5000 0.0000 0.0000
Tm1 0.9998 0.4153 0.2487
Tm2 0.0002 0.5847 0.7513
Tm3 0.3334 0.2489 0.7487
Tm4 0.6666 0.7511 0.2513

Record 8
Tm12GaNi5 after structural relaxation. Source: the Alexandria database, functional PBE.

Calculated values
The value obtained for the density is 9.6 g/cm3. Its space group is No. 71. The calculation puts the total energy at -5.130 eV per atom. As for the density of states at the Fermi level: 16.80 states/eV/f.u.

Cell: 8.1367 8.1367 8.1367 Å, 107.02 111.38 110.04°
Fractional coordinates of all 18 atoms:
Tm1 0.1897 0.4140 0.2242
Tm2 0.1049 0.8190 0.2859
Tm3 0.6969 0.3248 0.0217
Tm4 0.3031 0.6752 0.9783
Tm5 0.8103 0.0345 0.2242
Tm6 0.5331 0.8190 0.7141
Tm7 0.6969 0.6752 0.3722
Tm8 0.1897 0.9655 0.7758
Tm9 0.4669 0.1810 0.2859
Tm10 0.3031 0.3248 0.6278
Tm11 0.8103 0.5860 0.7758
Tm12 0.8951 0.1810 0.7141
Ni1 0.3566 0.3566 0.0000
Ni2 0.0000 0.0000 0.0000
Ni3 0.5000 0.8765 0.3765
Ni4 0.6434 0.6434 0.0000
Ni5 0.5000 0.1235 0.6235
Ga1 0.0000 0.5000 0.5000

Record 9
Tm7Ga2Ni2 after structural relaxation. Source: the Alexandria database, functional PBE.

Calculated values
The value obtained for the density is 8.7 g/cm3. Its space group is No. 65. The calculation puts the total energy at -4.716 eV per atom. As for the density of states at the Fermi level: 8.97 states/eV/f.u.

Cell: 6.5815 6.7214 6.5815 Å, 90.00 109.69 90.00°
Fractional coordinates of all 11 atoms:
Tm1 0.5003 0.7462 0.9998
Tm2 0.9998 0.2538 0.5003
Tm3 0.0002 0.7462 0.4997
Tm4 0.4998 0.2476 0.5002
Tm5 0.5002 0.7524 0.4998
Tm6 0.0000 0.0000 0.0000
Tm7 0.4997 0.2538 0.0002
Ni1 0.7041 0.0000 0.2959
Ni2 0.2959 0.0000 0.7041
Ga1 0.8318 0.5000 0.8318
Ga2 0.1682 0.5000 0.1682